# 1
Entry from Alexandria: an optimized crystal structure of In2ICl (GGA-PBEsol).

Values from the calculation:
Offset from the most stable computed form in eV per atom: 0.000
Uncorrected formation energy in meV per atom: -512
Theoretical density in Mg/m³: 5.40

Cell lengths 7.840, 7.840, 7.840 Å; angles 90.00, 90.00, 90.00 degrees
Space group Fm-3m (No. 225)
Unique sites:
In: 0.250 0.250 0.250
I: 0.000 0.000 0.000
Cl: 0.000 0.000 0.500

---

# 2
Entry from Alexandria: an optimized crystal structure of BeSiPt3 (GGA-PBEsol).

Values from the calculation:
Uncorrected formation energy in meV per atom: 195
Theoretical density in Mg/m³: 14.06

Cell lengths 4.189, 4.189, 4.189 Å; angles 90.00, 90.00, 90.00 degrees
Space group Pm-3m (No. 221)
Unique sites:
Be: 0.000 0.000 0.000
Si: 0.500 0.500 0.500
Pt: 0.000 0.000 0.500

---

# 3
Entry from Alexandria: an optimized crystal structure of LiRuW2 (GGA-PBEsol).

Values from the calculation:
ΔE_f in meV/atom: 358.1
Theoretical density in Mg/m³: 13.84

Cell lengths 5.241, 8.563, 2.668 Å; angles 90.00, 107.59, 90.00 degrees
Space group C2/m (No. 12)
Unique sites:
Li: 0.000 0.000 0.000
Ru: 0.000 0.500 0.000
W: 0.250 0.250 0.500

---

# 4
Entry from Alexandria: an optimized crystal structure of Li2InSb (GGA-PBEsol).

Values from the calculation:
Uncorrected formation energy in meV per atom: -404
Theoretical density in Mg/m³: 5.18

Cell lengths 4.355, 4.355, 4.236 Å; angles 90.00, 90.00, 90.00 degrees
Space group P4/mmm (No. 123)
Unique sites:
Li: 0.000 0.500 0.000
In: 0.000 0.000 0.500
Sb: 0.500 0.500 0.500